Here is a geometry-optimized BaVCrO4 structure from Alexandria via LeMat-Bulk. Energies are from PBE with a Hubbard U.

Unit cell a=5.7954 b=5.8210 c=6.9283 alpha=90.00 beta=105.32 gamma=90.00
Last column: nearest neighbours and their distance in Å.
Positions (direct):
Ba  0.2376  0.2500  0.4545  2 O 2.59-2.71
Ba  0.7624  0.7500  0.5455  2 O 2.59-2.71
V  0.2095  0.7500  0.1550  4 O 1.77-1.91
V  0.7905  0.2500  0.8450  4 O 1.77-1.91
Cr  0.4076  0.2500  0.9961  5 O 2.07-2.24
Cr  0.5924  0.7500  0.0039  5 O 2.07-2.24
O  0.0449  0.2500  0.0536  1 V 1.77
O  0.1237  0.7500  0.3908  1 V 1.83
O  0.4588  0.5270  0.1903  1 V 1.91, 2 Cr 2.07-2.12
O  0.4588  0.9730  0.1903  1 V 1.91, 2 Cr 2.07-2.12
O  0.5412  0.0270  0.8097  1 V 1.91, 2 Cr 2.07-2.12
O  0.5412  0.4730  0.8097  1 V 1.91, 2 Cr 2.07-2.12
O  0.8763  0.2500  0.6092  1 V 1.83
O  0.9551  0.7500  0.9464  1 V 1.77

Calculated values
magnetization: 0.714 μB/atom
space-group type: P2_1/m (11)
final energy: -7.28 eV per atom